1.
{
  "formula": "ErAlHg",
  "functional": "PBE",
  "state": "relaxed",
  "ef_ev_per_atom": -0.3256,
  "relative_energy_mev_per_atom": 123,
  "magnetic_moment_mub_per_fu": 0.0,
  "lattice": [[-1.770, 3.262, -2.906], [-4.604, 1.005, 0.109], [-1.470, 4.137, 1.716]],
  "species": ["Al", "Er", "Hg"],
  "fractional_positions": [[0.000, 0.000, 0.000], [0.500, 0.500, 0.500], [0.250, 0.250, 0.250]]
}

---

2.
{
  "formula": "CdFe2B",
  "functional": "PBE",
  "state": "relaxed",
  "ef_ev_per_atom": 0.8334,
  "relative_energy_mev_per_atom": 44,
  "magnetic_moment_mub_per_fu": 3.9,
  "lattice": [[3.195, -0.836, 2.425], [2.454, 3.025, 1.271], [-0.049, 1.164, 3.928]],
  "species": ["Fe", "Fe", "B", "Cd"],
  "fractional_positions": [[0.250, 0.250, 0.250], [0.750, 0.750, 0.750], [0.000, 0.000, 0.000], [0.500, 0.500, 0.500]]
}